Entry 1:
VASP calculation (PBEsol) on a relaxed Ho6FeBi2 crystal.

POSCAR file:
```
Ho6FeBi2
1.0
8.1721 0.0000 0.0000
-4.0861 7.0773 0.0000
0.0000 0.0000 4.0710
Ho Fe Bi
6 1 2
direct
0.0000 0.3910 0.0000
0.0000 0.7701 0.5000
0.2299 0.2299 0.5000
0.3910 0.0000 0.0000
0.6090 0.6090 0.0000
0.7701 0.0000 0.5000
0.0000 0.0000 0.0000
0.3333 0.6667 0.5000
0.6667 0.3333 0.5000
```

Properties
Its density of states at the Fermi level is 6.8 states/eV per cell. The formation energy is -0.4483 eV per atom. The value obtained for the total magnetic moment is 0.36 μB/f.u. The space group is No. 189. As for the total energy: -51.3 eV per cell.

=====

Entry 2:
VASP calculation (PBEsol) on a relaxed BaSi3Pt crystal.

POSCAR file:
```
BaSi3Pt
1.0
4.4009 0.0000 0.0000
0.0000 4.4009 0.0000
0.0000 0.0000 9.9562
Ba Si Pt
2 6 2
direct
0.0000 0.0000 0.0000
0.5000 0.5000 0.5000
0.0000 0.0000 0.6061
0.0000 0.5000 0.2445
0.0000 0.5000 0.7445
0.5000 0.0000 0.2445
0.5000 0.0000 0.7445
0.5000 0.5000 0.1061
0.0000 0.0000 0.3529
0.5000 0.5000 0.8529
```

Properties
Its density of states at the Fermi level is 3.3 states/eV per cell. The formation energy (no corrections) is -0.6792 eV per atom. The value obtained for the total magnetic moment is 0.00 μB/f.u. The space group is No. 107. As for the total energy: -59.5 eV per cell.

=====

Which of these has the highest total magnetic moment?
Ho6FeBi2